Compound: MnCr2TcO8
Source: Alexandria
Functional: PBE+U
Structure: optimized geometry

abc: 4.579 4.571 6.031
angles: 90.00 90.00 91.07
Site moments in Bohr magnetons follow the coordinates.
Positions (direct):
Mn 0.000 0.000 0.500  3.35
Cr 0.500 0.500 0.745  2.89
Cr 0.500 0.500 0.255  2.89
Tc 0.000 0.000 0.000  1.06
O 0.190 0.808 0.248  -0.05
O 0.701 0.703 0.000  -0.05
O 0.810 0.192 0.248  -0.05
O 0.810 0.192 0.752  -0.05
O 0.299 0.297 0.000  -0.05
O 0.190 0.808 0.752  -0.05
O 0.699 0.701 0.500  -0.07
O 0.301 0.299 0.500  -0.07

## Properties
DOS at the Fermi energy, states/eV/atom: 0.18
DFT total energy, eV/atom: -7.59
Magnetic moment, μB/f.u.: 10.00